First-principles (PBE) data for a relaxed TbSm2Dy6Ho crystal, as listed in Alexandria.

Results
As for the symmetry: C2/c. The value obtained for the calculated volume is 323 Å³/f.u. The total magnetization comes out at 0.00 μB/cell. The calculation puts the energy of formation from the pure elements at 0.12 eV per atom.

POSCAR file:
```
TbSm2Dy6Ho
1.0
4.508 -7.520 0.000
4.508 7.520 0.000
-1.434 0.000 9.533
Tb Sm Dy Ho
2 4 12 2
Direct
0.020 0.980 0.750
0.980 0.020 0.250
0.195 0.299 0.543
0.299 0.195 0.043
0.701 0.805 0.957
0.805 0.701 0.457
0.020 0.573 0.686
0.125 0.747 0.057
0.253 0.875 0.443
0.292 0.503 0.880
0.427 0.980 0.814
0.497 0.708 0.620
0.503 0.292 0.380
0.573 0.020 0.186
0.708 0.497 0.120
0.747 0.125 0.557
0.875 0.253 0.943
0.980 0.427 0.314
0.408 0.592 0.250
0.592 0.408 0.750
```